# 1
{
  "formula": "NaCd2Pd",
  "functional": "SCAN",
  "state": "PBEsol geometry",
  "e_form_mev_per_atom": -238.9,
  "cell": [[6.6496, 0.0000, 0.0000], [0.0000, 6.6496, 0.0000], [0.0000, 0.0000, 6.6496]],
  "species": ["Na", "Na", "Na", "Na", "Cd", "Cd", "Cd", "Cd", "Cd", "Cd", "Cd", "Cd", "Pd", "Pd", "Pd", "Pd"],
  "frac_coords": [[0.0000, 0.0000, 0.0000], [0.0000, 0.5000, 0.5000], [0.5000, 0.0000, 0.5000], [0.5000, 0.5000, 0.0000], [0.2500, 0.2500, 0.2500], [0.2500, 0.2500, 0.7500], [0.2500, 0.7500, 0.2500], [0.2500, 0.7500, 0.7500], [0.7500, 0.2500, 0.2500], [0.7500, 0.2500, 0.7500], [0.7500, 0.7500, 0.2500], [0.7500, 0.7500, 0.7500], [0.0000, 0.0000, 0.5000], [0.0000, 0.5000, 0.0000], [0.5000, 0.0000, 0.0000], [0.5000, 0.5000, 0.5000]]
}

---

# 2
{
  "formula": "Na2CdPd",
  "functional": "SCAN",
  "state": "PBEsol geometry",
  "e_form_mev_per_atom": 9.6,
  "cell": [[3.9570, 0.0000, 0.0000], [0.0000, 3.9570, 0.0000], [0.0000, 0.0000, 21.0384]],
  "species": ["Na", "Na", "Na", "Na", "Na", "Na", "Na", "Na", "Cd", "Cd", "Cd", "Cd", "Pd", "Pd", "Pd", "Pd"],
  "frac_coords": [[0.2382, 0.2500, 0.1250], [0.2500, 0.7382, 0.3750], [0.2500, 0.7618, 0.8750], [0.2618, 0.2500, 0.6250], [0.7382, 0.7500, 0.6250], [0.7500, 0.2382, 0.8750], [0.7500, 0.2618, 0.3750], [0.7618, 0.7500, 0.1250], [0.0000, 0.0000, 0.5000], [0.0000, 0.5000, 0.7500], [0.5000, 0.0000, 0.2500], [0.5000, 0.5000, 0.0000], [0.0000, 0.0000, 0.0000], [0.0000, 0.5000, 0.2500], [0.5000, 0.0000, 0.7500], [0.5000, 0.5000, 0.5000]]
}

---

# 3
{
  "formula": "NaCd3Pd",
  "functional": "SCAN",
  "state": "PBEsol geometry",
  "e_form_mev_per_atom": -93.7,
  "e_above_lowest_polymorph_ev_per_fu": 0.00,
  "cell": [[5.1276, 0.0000, 0.0000], [0.0000, 5.1276, 0.0000], [0.0000, 0.0000, 5.1276]],
  "species": ["Na", "Cd", "Cd", "Cd", "Pd"],
  "frac_coords": [[0.0000, 0.0000, 0.0000], [0.0000, 0.5000, 0.5000], [0.5000, 0.0000, 0.5000], [0.5000, 0.5000, 0.0000], [0.5000, 0.5000, 0.5000]]
}

---

# 4
{
  "formula": "NaCdTePd2",
  "functional": "SCAN",
  "state": "PBEsol geometry",
  "raw_formation_energy_ev_per_atom": 0.067,
  "cell": [[4.9883, 0.0000, 0.0000], [0.0000, 4.9883, 0.0000], [0.0000, 0.0000, 5.5014]],
  "species": ["Na", "Cd", "Te", "Pd", "Pd"],
  "frac_coords": [[0.0000, 0.0000, 0.0000], [0.5000, 0.5000, 0.0000], [0.5000, 0.5000, 0.5000], [0.0000, 0.5000, 0.5000], [0.5000, 0.0000, 0.5000]]
}

---

# 5
{
  "formula": "NaCd3Pt",
  "functional": "SCAN",
  "state": "PBEsol geometry",
  "e_form_mev_per_atom": -185.4,
  "cell": [[5.1601, 0.0000, 0.0000], [0.0000, 5.1601, 0.0000], [0.0000, 0.0000, 5.1601]],
  "species": ["Na", "Cd", "Cd", "Cd", "Pt"],
  "frac_coords": [[0.0000, 0.0000, 0.0000], [0.0000, 0.5000, 0.5000], [0.5000, 0.0000, 0.5000], [0.5000, 0.5000, 0.0000], [0.5000, 0.5000, 0.5000]]
}

---

# 6
{
  "formula": "RbNa2Cd",
  "functional": "SCAN",
  "state": "PBEsol geometry",
  "e_form_mev_per_atom": 23.2,
  "cell": [[8.2823, 0.0000, 0.0000], [0.0000, 8.2823, 0.0000], [0.0000, 0.0000, 8.2823]],
  "species": ["Rb", "Rb", "Rb", "Rb", "Na", "Na", "Na", "Na", "Na", "Na", "Na", "Na", "Cd", "Cd", "Cd", "Cd"],
  "frac_coords": [[0.0000, 0.0000, 0.0000], [0.0000, 0.5000, 0.5000], [0.5000, 0.0000, 0.5000], [0.5000, 0.5000, 0.0000], [0.2500, 0.2500, 0.2500], [0.2500, 0.2500, 0.7500], [0.2500, 0.7500, 0.2500], [0.2500, 0.7500, 0.7500], [0.7500, 0.2500, 0.2500], [0.7500, 0.2500, 0.7500], [0.7500, 0.7500, 0.2500], [0.7500, 0.7500, 0.7500], [0.0000, 0.0000, 0.5000], [0.0000, 0.5000, 0.0000], [0.5000, 0.0000, 0.0000], [0.5000, 0.5000, 0.5000]]
}

---

# 7
{
  "formula": "Rb2NaCd2",
  "functional": "SCAN",
  "state": "PBEsol geometry",
  "e_form_mev_per_atom": -20.9,
  "cell": [[8.6246, 0.0000, 0.0000], [0.0000, 8.6246, 0.0000], [0.0000, 0.0000, 5.5638]],
  "species": ["Rb", "Rb", "Rb", "Rb", "Na", "Na", "Cd", "Cd", "Cd", "Cd"],
  "frac_coords": [[0.1770, 0.3230, 0.0000], [0.3230, 0.8230, 0.0000], [0.6770, 0.1770, 0.0000], [0.8230, 0.6770, 0.0000], [0.0000, 0.0000, 0.5000], [0.5000, 0.5000, 0.5000], [0.1194, 0.6194, 0.5000], [0.3806, 0.1194, 0.5000], [0.6194, 0.8806, 0.5000], [0.8806, 0.3806, 0.5000]]
}

---

# 8
{
  "formula": "Rb2Na2Cd",
  "functional": "SCAN",
  "state": "PBEsol geometry",
  "e_form_mev_per_atom": 39.3,
  "cell": [[8.4733, 0.0000, 0.0000], [0.0000, 8.4733, 0.0000], [0.0000, 0.0000, 6.3738]],
  "species": ["Rb", "Rb", "Rb", "Rb", "Na", "Na", "Na", "Na", "Cd", "Cd"],
  "frac_coords": [[0.1866, 0.3134, 0.0000], [0.3134, 0.8134, 0.0000], [0.6866, 0.1866, 0.0000], [0.8134, 0.6866, 0.0000], [0.1457, 0.6457, 0.5000], [0.3543, 0.1457, 0.5000], [0.6457, 0.8543, 0.5000], [0.8543, 0.3543, 0.5000], [0.0000, 0.0000, 0.5000], [0.5000, 0.5000, 0.5000]]
}